LiHfCrO4: optimized geometry, GGA+U.

## Properties
DFT total energy: -8.249 eV per atom

abc: 6.0387 6.3385 8.6216
angles: 90.00 90.00 90.00
Space group Imma (No. 74)
Symmetry-distinct sites (fractional):
Li: 0.0000 0.2500 0.1239 x4
Hf: 0.0000 0.0000 0.5000 x4
Cr: 0.2500 0.2500 0.7500 x4
O: 0.0000 0.0323 0.7404 x8
O: 0.2275 0.2500 0.5107 x8